#1
# PBE TaPO5, optimized geometry
data_TaPO5
_chemical_formula_sum 'Ta16 P16 O80'
_symmetry_space_group_name_H-M 'F d d d'
_symmetry_Int_Tables_number 70
_cell_length_a 7.1597
_cell_length_b 12.3213
_cell_length_c 16.7484
_cell_angle_alpha 90.00
_cell_angle_beta 90.00
_cell_angle_gamma 90.00
loop_
_symmetry_equiv_pos_as_xyz
'x,y,z'
'-x,-y,-z'
'-x+1/4,-y+1/4,z'
'x+1/4,y+1/4,-z'
'x,-y+1/4,-z+1/4'
'-x,y+1/4,z+1/4'
'-x+1/4,y,-z+1/4'
'x+1/4,-y,z+1/4'
'x,y+1/2,z+1/2'
'-x,-y+1/2,-z+1/2'
'-x+1/4,-y+3/4,z+1/2'
'x+1/4,y+3/4,-z+1/2'
'x,-y+3/4,-z+3/4'
'-x,y+3/4,z+3/4'
'-x+1/4,y+1/2,-z+3/4'
'x+1/4,-y+1/2,z+3/4'
'x+1/2,y,z+1/2'
'-x+1/2,-y,-z+1/2'
'-x+3/4,-y+1/4,z+1/2'
'x+3/4,y+1/4,-z+1/2'
'x+1/2,-y+1/4,-z+3/4'
'-x+1/2,y+1/4,z+3/4'
'-x+3/4,y,-z+3/4'
'x+3/4,-y,z+3/4'
'x+1/2,y+1/2,z'
'-x+1/2,-y+1/2,-z'
'-x+3/4,-y+3/4,z'
'x+3/4,y+3/4,-z'
'x+1/2,-y+3/4,-z+1/4'
'-x+1/2,y+3/4,z+1/4'
'-x+3/4,y+1/2,-z+1/4'
'x+3/4,-y+1/2,z+1/4'
loop_
_atom_site_label
_atom_site_type_symbol
_atom_site_fract_x
_atom_site_fract_y
_atom_site_fract_z
Ta1 Ta 0.0000 0.0000 0.0000
P1 P 0.1250 0.1250 0.4100
O1 O 0.0474 0.3554 0.0362
O2 O 0.1103 0.0238 0.3547
O3 O 0.1250 0.1250 0.0436
# - Crystal system: orthorhombic

#2
# PBE TaPO5, optimized geometry
data_TaPO5
_chemical_formula_sum 'Ta2 P2 O10'
_symmetry_space_group_name_H-M 'P 4/n m m'
_symmetry_Int_Tables_number 129
_cell_length_a 6.5147
_cell_length_b 6.5147
_cell_length_c 4.0500
_cell_angle_alpha 90.00
_cell_angle_beta 90.00
_cell_angle_gamma 90.00
loop_
_symmetry_equiv_pos_as_xyz
'x,y,z'
'-x,-y,-z'
'-y+1/2,x,z'
'y+1/2,-x,-z'
'-x+1/2,-y+1/2,z'
'x+1/2,y+1/2,-z'
'y,-x+1/2,z'
'-y,x+1/2,-z'
'x+1/2,-y,-z'
'-x+1/2,y,z'
'-y,-x,-z'
'y,x,z'
'-x,y+1/2,-z'
'x,-y+1/2,z'
'y+1/2,x+1/2,-z'
'-y+1/2,-x+1/2,z'
loop_
_atom_site_label
_atom_site_type_symbol
_atom_site_fract_x
_atom_site_fract_y
_atom_site_fract_z
Ta1 Ta 0.2500 0.2500 0.2359
P1 P 0.2500 0.7500 0.5000
O1 O 0.0554 0.7500 0.7157
O2 O 0.2500 0.2500 0.7848
# - Crystal system: tetragonal

#3
# PBE TaPO5, optimized geometry
data_TaPO5
_chemical_formula_sum 'Ta4 P4 O20'
_symmetry_space_group_name_H-M 'P 1 21/m 1'
_symmetry_Int_Tables_number 11
_cell_length_a 6.7803
_cell_length_b 5.4097
_cell_length_c 11.4227
_cell_angle_alpha 90.00
_cell_angle_beta 90.01
_cell_angle_gamma 90.00
loop_
_symmetry_equiv_pos_as_xyz
'x,y,z'
'-x,-y,-z'
'-x,y+1/2,-z'
'x,-y+1/2,z'
loop_
_atom_site_label
_atom_site_type_symbol
_atom_site_fract_x
_atom_site_fract_y
_atom_site_fract_z
Ta1 Ta 0.1689 0.2500 0.0628
Ta2 Ta 0.3313 0.2500 0.5630
P1 P 0.0281 0.7500 0.6540
P2 P 0.4721 0.7500 0.1539
O1 O 0.0000 0.0000 0.0000
O2 O 0.0315 0.2500 0.2156
O3 O 0.1474 0.5157 0.6288
O4 O 0.1627 0.2500 0.4200
O5 O 0.3364 0.2500 0.9194
O6 O 0.3531 0.5156 0.1281
O7 O 0.4697 0.2500 0.7154
O8 O 0.5000 0.0000 0.5000
# - Crystal system: monoclinic

According to the calculations, the structures order from most to least stable as #3, #2, #1.